Record 1
VASP calculation (GGA-PBE) on Pu3UGa8 after structural relaxation.

The structure in CIF format:
```
data_Pu3UGa8
_chemical_formula_sum 'Pu3 U1 Ga8'
_symmetry_space_group_name_H-M 'P 1'
_symmetry_Int_Tables_number 1
_cell_length_a 5.539
_cell_length_b 5.539
_cell_length_c 9.265
_cell_angle_alpha 72.61
_cell_angle_beta 72.61
_cell_angle_gamma 60.00
loop_
_symmetry_equiv_pos_as_xyz
'x,y,z'
loop_
_atom_site_label
_atom_site_fract_x
_atom_site_fract_y
_atom_site_fract_z
Pu1 0.380 0.380 0.861
Pu2 0.993 0.993 0.021
Pu3 0.496 0.496 0.511
U1 0.880 0.880 0.360
Ga1 0.937 0.438 0.187
Ga2 0.438 0.937 0.687
Ga3 0.438 0.438 0.187
Ga4 0.937 0.937 0.687
Ga5 0.187 0.187 0.438
Ga6 0.688 0.688 0.936
Ga7 0.438 0.937 0.187
Ga8 0.937 0.438 0.687
```

Results
Space-group type: R3m (160)
Size of the total moment: 0.681 μB/atom
DFT formation energy: -0.34 eV/atom
D(E_F): 2.003 states/eV per atom


Record 2
VASP calculation (GGA-PBE) on PuUGa4 after structural relaxation.

The structure in CIF format:
```
data_PuUGa4
_chemical_formula_sum 'Pu2 U2 Ga8'
_symmetry_space_group_name_H-M 'P 1'
_symmetry_Int_Tables_number 1
_cell_length_a 4.284
_cell_length_b 8.558
_cell_length_c 6.742
_cell_angle_alpha 90.00
_cell_angle_beta 90.00
_cell_angle_gamma 90.00
loop_
_symmetry_equiv_pos_as_xyz
'x,y,z'
loop_
_atom_site_label
_atom_site_fract_x
_atom_site_fract_y
_atom_site_fract_z
Pu1 0.000 0.750 0.702
Pu2 0.000 0.250 0.298
U1 0.000 0.750 0.318
U2 0.000 0.250 0.682
Ga1 0.000 0.000 0.000
Ga2 0.500 0.504 0.694
Ga3 0.500 0.750 0.009
Ga4 0.000 0.500 0.000
Ga5 0.500 0.250 0.991
Ga6 0.500 0.996 0.694
Ga7 0.500 0.004 0.306
Ga8 0.500 0.496 0.306
```

Results
Space-group type: Pmma (51)
Size of the total moment: 1.227 μB/atom
DFT formation energy: -0.08 eV/atom
D(E_F): 1.376 states/eV per atom
ΔE to the lowest computed polymorph: 0.212 eV per atom


Record 3
VASP calculation (GGA-PBE) on PuUGa after structural relaxation.

The structure in CIF format:
```
data_PuUGa
_chemical_formula_sum 'Pu2 U2 Ga2'
_symmetry_space_group_name_H-M 'P 1'
_symmetry_Int_Tables_number 1
_cell_length_a 4.264
_cell_length_b 4.358
_cell_length_c 7.110
_cell_angle_alpha 107.85
_cell_angle_beta 72.55
_cell_angle_gamma 90.00
loop_
_symmetry_equiv_pos_as_xyz
'x,y,z'
loop_
_atom_site_label
_atom_site_fract_x
_atom_site_fract_y
_atom_site_fract_z
U1 0.626 0.124 0.248
U2 0.374 0.876 0.752
Ga1 0.806 0.444 0.887
Ga2 0.194 0.556 0.113
Pu1 0.968 0.782 0.565
Pu2 0.032 0.218 0.435
```

Results
Space-group type: Imma (74)
Size of the total moment: 0.000 μB/atom
DFT formation energy: -0.23 eV/atom
D(E_F): 1.498 states/eV per atom
ΔE to the lowest computed polymorph: 0.000 eV per atom


Record 4
VASP calculation (GGA-PBE) on PuUGa6 after structural relaxation.

The structure in CIF format:
```
data_PuUGa6
_chemical_formula_sum 'Pu1 U1 Ga6'
_symmetry_space_group_name_H-M 'P 1'
_symmetry_Int_Tables_number 1
_cell_length_a 4.611
_cell_length_b 6.165
_cell_length_c 6.165
_cell_angle_alpha 118.24
_cell_angle_beta 90.00
_cell_angle_gamma 90.00
loop_
_symmetry_equiv_pos_as_xyz
'x,y,z'
loop_
_atom_site_label
_atom_site_fract_x
_atom_site_fract_y
_atom_site_fract_z
Pu1 0.500 0.408 0.592
U1 0.000 0.092 0.908
Ga1 0.000 0.050 0.392
Ga2 0.000 0.608 0.950
Ga3 0.000 0.594 0.406
Ga4 0.500 0.452 0.110
Ga5 0.500 0.890 0.548
Ga6 0.500 0.906 0.094
```

Results
Space-group type: Amm2 (38)
Size of the total moment: 0.949 μB/atom
DFT formation energy: -0.28 eV/atom
D(E_F): 2.070 states/eV per atom


Record 5
VASP calculation (GGA-PBE) on PuUGa after structural relaxation.

The structure in CIF format:
```
data_PuUGa
_chemical_formula_sum 'Pu1 U1 Ga1'
_symmetry_space_group_name_H-M 'P 1'
_symmetry_Int_Tables_number 1
_cell_length_a 2.846
_cell_length_b 4.835
_cell_length_c 4.835
_cell_angle_alpha 120.00
_cell_angle_beta 90.00
_cell_angle_gamma 90.00
loop_
_symmetry_equiv_pos_as_xyz
'x,y,z'
loop_
_atom_site_label
_atom_site_fract_x
_atom_site_fract_y
_atom_site_fract_z
U1 0.500 0.667 0.333
Ga1 0.000 0.000 0.000
Pu1 0.499 0.333 0.667
```

Results
Space-group type: P-6m2 (187)
Size of the total moment: 1.231 μB/atom
DFT formation energy: -0.05 eV/atom
D(E_F): 2.464 states/eV per atom
ΔE to the lowest computed polymorph: 0.182 eV per atom


Record 6
VASP calculation (GGA-PBE) on PuUVGa after structural relaxation.

The structure in CIF format:
```
data_PuUVGa
_chemical_formula_sum 'Pu1 U1 V1 Ga1'
_symmetry_space_group_name_H-M 'P 1'
_symmetry_Int_Tables_number 1
_cell_length_a 4.687
_cell_length_b 4.687
_cell_length_c 4.687
_cell_angle_alpha 60.00
_cell_angle_beta 60.00
_cell_angle_gamma 60.00
loop_
_symmetry_equiv_pos_as_xyz
'x,y,z'
loop_
_atom_site_label
_atom_site_fract_x
_atom_site_fract_y
_atom_site_fract_z
V1 0.250 0.250 0.250
U1 0.500 0.500 0.500
Ga1 0.000 0.000 0.000
Pu1 0.750 0.750 0.750
```

Results
Space-group type: F-43m (216)
Size of the total moment: 1.053 μB/atom
DFT formation energy: -0.01 eV/atom
D(E_F): 1.106 states/eV per atom


Record 7
VASP calculation (GGA-PBE) on PuVGa after structural relaxation.

The structure in CIF format:
```
data_PuVGa
_chemical_formula_sum 'Pu1 V1 Ga1'
_symmetry_space_group_name_H-M 'P 1'
_symmetry_Int_Tables_number 1
_cell_length_a 2.516
_cell_length_b 2.516
_cell_length_c 7.905
_cell_angle_alpha 99.16
_cell_angle_beta 99.16
_cell_angle_gamma 90.00
loop_
_symmetry_equiv_pos_as_xyz
'x,y,z'
loop_
_atom_site_label
_atom_site_fract_x
_atom_site_fract_y
_atom_site_fract_z
Pu1 0.116 0.116 0.233
Ga1 0.781 0.781 0.563
V1 0.952 0.952 0.905
```

Results
Space-group type: I4mm (107)
Size of the total moment: 0.000 μB/atom
DFT formation energy: 0.59 eV/atom
D(E_F): 2.089 states/eV per atom
ΔE to the lowest computed polymorph: 0.421 eV per atom


Record 8
VASP calculation (GGA-PBE) on PuV2Ga after structural relaxation.

The structure in CIF format:
```
data_PuV2Ga
_chemical_formula_sum 'Pu1 V2 Ga1'
_symmetry_space_group_name_H-M 'P 1'
_symmetry_Int_Tables_number 1
_cell_length_a 3.382
_cell_length_b 4.310
_cell_length_c 4.310
_cell_angle_alpha 90.00
_cell_angle_beta 90.00
_cell_angle_gamma 90.00
loop_
_symmetry_equiv_pos_as_xyz
'x,y,z'
loop_
_atom_site_label
_atom_site_fract_x
_atom_site_fract_y
_atom_site_fract_z
V1 0.000 0.000 0.500
V2 0.000 0.500 0.000
Ga1 0.500 0.500 0.500
Pu1 0.500 0.000 0.000
```

Results
Space-group type: P4/mmm (123)
Size of the total moment: 1.023 μB/atom
DFT formation energy: 0.03 eV/atom
D(E_F): 1.590 states/eV per atom
ΔE to the lowest computed polymorph: 0.000 eV per atom


Record 9
VASP calculation (GGA-PBE) on PuV4Ga after structural relaxation.

The structure in CIF format:
```
data_PuV4Ga
_chemical_formula_sum 'Pu1 V4 Ga1'
_symmetry_space_group_name_H-M 'P 1'
_symmetry_Int_Tables_number 1
_cell_length_a 5.141
_cell_length_b 5.141
_cell_length_c 5.141
_cell_angle_alpha 60.00
_cell_angle_beta 60.00
_cell_angle_gamma 60.00
loop_
_symmetry_equiv_pos_as_xyz
'x,y,z'
loop_
_atom_site_label
_atom_site_fract_x
_atom_site_fract_y
_atom_site_fract_z
V1 0.623 0.623 0.130
V2 0.623 0.130 0.623
V3 0.623 0.623 0.623
V4 0.130 0.623 0.623
Ga1 0.000 0.000 0.000
Pu1 0.250 0.250 0.250
```

Results
Space-group type: F-43m (216)
Size of the total moment: 0.845 μB/atom
DFT formation energy: 0.25 eV/atom
D(E_F): 1.975 states/eV per atom


Record 10
VASP calculation (GGA-PBE) on PuV2Ga after structural relaxation.

The structure in CIF format:
```
data_PuV2Ga
_chemical_formula_sum 'Pu1 V2 Ga1'
_symmetry_space_group_name_H-M 'P 1'
_symmetry_Int_Tables_number 1
_cell_length_a 4.477
_cell_length_b 4.477
_cell_length_c 4.476
_cell_angle_alpha 59.99
_cell_angle_beta 59.99
_cell_angle_gamma 60.00
loop_
_symmetry_equiv_pos_as_xyz
'x,y,z'
loop_
_atom_site_label
_atom_site_fract_x
_atom_site_fract_y
_atom_site_fract_z
V1 0.750 0.750 0.749
V2 0.250 0.250 0.251
Ga1 0.500 0.500 0.500
Pu1 0.000 0.000 0.000
```

Results
Space-group type: Fm-3m (225)
Size of the total moment: 1.249 μB/atom
DFT formation energy: 0.06 eV/atom
D(E_F): 2.265 states/eV per atom
ΔE to the lowest computed polymorph: 0.030 eV per atom